# PaCo2BC GGA-PBE optimized geometry
data_PaCo2BC
_cell_length_a 3.494
_cell_length_b 5.444
_cell_length_c 6.553
_cell_angle_alpha 90.00
_cell_angle_beta 90.00
_cell_angle_gamma 108.72
_symmetry_space_group_name_H-M 'P 1'
_symmetry_Int_Tables_number 1
_symmetry_space_group_name_Hall 'P 1'
loop_
_atom_site_label
_atom_site_fract_x
_atom_site_fract_y
_atom_site_fract_z
C1 0.000 0.000 0.000
C2 0.000 0.000 0.500
B1 0.727 0.454 0.750
B2 0.273 0.546 0.250
Pa1 0.557 0.113 0.250
Pa2 0.443 0.887 0.750
Co1 0.176 0.352 0.561
Co2 0.176 0.352 0.939
Co3 0.824 0.648 0.061
Co4 0.824 0.648 0.439
# - Calculated formation energy: -291 meV per atom
# - Calculated total energy: -0.604 Ry per atom
# - Calculated volume: 118.03 Å³/cell